1.
# SiHgTe2 | the Alexandria database | PBE | relaxed
data_SiHgTe2
_cell_length_a 3.5092
_cell_length_b 5.2811
_cell_length_c 12.7720
_cell_angle_alpha 90.00
_cell_angle_beta 90.00
_cell_angle_gamma 90.00
_symmetry_space_group_name_H-M 'I m m m'
_symmetry_Int_Tables_number 71
_symmetry_space_group_name_Hall '-I 2 2'
loop_
_atom_site_label
_atom_site_type_symbol
_atom_site_fract_x
_atom_site_fract_y
_atom_site_fract_z
Si1 Si 0.0000 0.0000 0.0000
Hg1 Hg 0.0000 0.0000 0.5000
Te1 Te 0.0000 0.5000 0.3416
# ΔE to the lowest computed polymorph: 219 meV/atom
# Spin magnetization: 0.000 μB per atom
# Formation energy from raw total energies: 0.277 eV per atom
# Energy: -2.725 eV per atom

2.
# Li3Ac2Pb2 | the Alexandria database | PBE | relaxed
data_Li3Ac2Pb2
_cell_length_a 11.6745
_cell_length_b 5.0799
_cell_length_c 7.0963
_cell_angle_alpha 90.00
_cell_angle_beta 105.27
_cell_angle_gamma 90.00
_symmetry_space_group_name_H-M 'C 1 2/m 1'
_symmetry_Int_Tables_number 12
loop_
_symmetry_equiv_pos_as_xyz
'x,y,z'
'-x,-y,-z'
'-x,y,-z'
'x,-y,z'
'x+1/2,y+1/2,z'
'-x+1/2,-y+1/2,-z'
'-x+1/2,y+1/2,-z'
'x+1/2,-y+1/2,z'
loop_
_atom_site_label
_atom_site_type_symbol
_atom_site_fract_x
_atom_site_fract_y
_atom_site_fract_z
Li1 Li 0.0000 0.0000 0.0000
Li2 Li 0.1080 0.0000 0.4214
Ac1 Ac 0.1474 0.5000 0.7609
Pb1 Pb 0.1520 0.5000 0.2530
# Spin magnetization: 0.000 μB per atom
# Energy: -3.423 eV per atom
# Energy of formation from the pure elements: -369 meV/atom

3.
# PaBeCo5Si2 | the Alexandria database | PBE | relaxed
data_PaBeCo5Si2
_cell_length_a 3.6378
_cell_length_b 3.6378
_cell_length_c 9.4939
_cell_angle_alpha 90.00
_cell_angle_beta 90.00
_cell_angle_gamma 90.00
_symmetry_space_group_name_H-M 'P 4/m m m'
_symmetry_Int_Tables_number 123
_symmetry_space_group_name_Hall '-P 4 2'
loop_
_atom_site_label
_atom_site_type_symbol
_atom_site_fract_x
_atom_site_fract_y
_atom_site_fract_z
Pa1 Pa 0.0000 0.0000 0.0000
Be1 Be 0.0000 0.0000 0.5000
Co1 Co 0.0000 0.5000 0.3697
Co2 Co 0.5000 0.5000 0.0000
Si1 Si 0.5000 0.5000 0.2334
# Spin magnetization: 0.206 μB per atom
# Formation energy from raw total energies: -0.136 eV per atom
# Energy: -6.758 eV per atom

4.
# BaCa2NdAu4 | the Alexandria database | PBE | relaxed
data_BaCa2NdAu4
_cell_length_a 5.2090
_cell_length_b 5.2090
_cell_length_c 27.8383
_cell_angle_alpha 90.00
_cell_angle_beta 90.00
_cell_angle_gamma 120.00
_symmetry_space_group_name_H-M 'R -3 m'
_symmetry_Int_Tables_number 166
_symmetry_space_group_name_Hall '-R 3 2"'
loop_
_atom_site_label
_atom_site_type_symbol
_atom_site_fract_x
_atom_site_fract_y
_atom_site_fract_z
Ba1 Ba 0.0000 0.0000 0.0000
Ca1 Ca 0.0000 0.0000 0.2438
Nd1 Nd 0.0000 0.0000 0.5000
Au1 Au 0.0000 0.0000 0.1286
Au2 Au 0.0000 0.0000 0.3912
# Spin magnetization: 0.000 μB per atom
# Energy: -3.725 eV per atom
# Energy of formation from the pure elements: -750 meV/atom

5.
# LaCeSmPb | the Alexandria database | PBE | relaxed
data_LaCeSmPb
_cell_length_a 7.9039
_cell_length_b 7.9039
_cell_length_c 7.9039
_cell_angle_alpha 90.00
_cell_angle_beta 90.00
_cell_angle_gamma 90.00
_symmetry_space_group_name_H-M 'F -4 3 m'
_symmetry_Int_Tables_number 216
_symmetry_space_group_name_Hall 'F -4 2 3'
loop_
_atom_site_label
_atom_site_type_symbol
_atom_site_fract_x
_atom_site_fract_y
_atom_site_fract_z
La1 La 0.0000 0.0000 0.0000
Ce1 Ce 0.2500 0.2500 0.7500
Sm1 Sm 0.0000 0.0000 0.5000
Pb1 Pb 0.2500 0.2500 0.2500
# Spin magnetization: 0.186 μB per atom
# Energy: -4.925 eV per atom
# Energy of formation from the pure elements: -102 meV/atom

6.
# TaF | the Alexandria database | PBE | relaxed
data_TaF
_cell_length_a 4.9298
_cell_length_b 4.9298
_cell_length_c 4.9298
_cell_angle_alpha 90.00
_cell_angle_beta 90.00
_cell_angle_gamma 90.00
_symmetry_space_group_name_H-M 'F -4 3 m'
_symmetry_Int_Tables_number 216
_symmetry_space_group_name_Hall 'F -4 2 3'
loop_
_atom_site_label
_atom_site_type_symbol
_atom_site_fract_x
_atom_site_fract_y
_atom_site_fract_z
Ta1 Ta 0.0000 0.0000 0.0000
F1 F 0.2500 0.2500 0.2500
# ΔE to the lowest computed polymorph: 1425 meV/atom
# Spin magnetization: 0.000 μB per atom
# Formation energy from raw total energies: -0.237 eV per atom
# Energy: -7.099 eV per atom

7.
# Ca2Zr3 | the Alexandria database | PBE | relaxed
data_Ca2Zr3
_cell_length_a 10.8653
_cell_length_b 15.8036
_cell_length_c 6.5122
_cell_angle_alpha 90.00
_cell_angle_beta 90.00
_cell_angle_gamma 90.00
_symmetry_space_group_name_H-M 'F d d 2'
_symmetry_Int_Tables_number 43
_symmetry_space_group_name_Hall 'F 2 -2d'
loop_
_atom_site_label
_atom_site_type_symbol
_atom_site_fract_x
_atom_site_fract_y
_atom_site_fract_z
Ca1 Ca 0.0601 0.3032 0.0000
Zr1 Zr 0.0000 0.0000 0.3647
Zr2 Zr 0.0660 0.3918 0.4913
# ΔE to the lowest computed polymorph: 126 meV/atom
# Spin magnetization: 0.000 μB per atom
# Energy: -5.515 eV per atom
# Energy of formation from the pure elements: 415 meV/atom

8.
# CsIn2S2 | the Alexandria database | PBE | relaxed
data_CsIn2S2
_cell_length_a 5.2566
_cell_length_b 5.2566
_cell_length_c 10.5283
_cell_angle_alpha 90.00
_cell_angle_beta 90.00
_cell_angle_gamma 90.00
_symmetry_space_group_name_H-M 'I 4/m m m'
_symmetry_Int_Tables_number 139
_symmetry_space_group_name_Hall '-I 4 2'
loop_
_atom_site_label
_atom_site_type_symbol
_atom_site_fract_x
_atom_site_fract_y
_atom_site_fract_z
Cs1 Cs 0.0000 0.0000 0.0000
In1 In 0.0000 0.0000 0.3477
S1 S 0.0000 0.5000 0.2500
# ΔE to the lowest computed polymorph: 0 meV/atom
# Spin magnetization: 0.000 μB per atom
# Formation energy from raw total energies: -0.594 eV per atom
# Energy: -3.511 eV per atom

9.
# Tb3Pm3In2 | the Alexandria database | PBE | relaxed
data_Tb3Pm3In2
_cell_length_a 5.2468
_cell_length_b 11.9937
_cell_length_c 15.9998
_cell_angle_alpha 90.00
_cell_angle_beta 90.00
_cell_angle_gamma 90.00
_symmetry_space_group_name_H-M 'C m c m'
_symmetry_Int_Tables_number 63
_symmetry_space_group_name_Hall '-C 2c 2'
loop_
_atom_site_label
_atom_site_type_symbol
_atom_site_fract_x
_atom_site_fract_y
_atom_site_fract_z
Tb1 Tb 0.0000 0.0415 0.2500
Tb2 Tb 0.0000 0.1409 0.5329
Pm1 Pm 0.0000 0.2379 0.7500
Pm2 Pm 0.0000 0.4610 0.6052
In1 In 0.0000 0.2695 0.1384
# ΔE to the lowest computed polymorph: 110 meV/atom
# Spin magnetization: 0.000 μB per atom
# Energy: -4.362 eV per atom
# Energy of formation from the pure elements: -160 meV/atom

10.
# CdCu2Tc | the Alexandria database | PBE | relaxed
data_CdCu2Tc
_cell_length_a 3.9006
_cell_length_b 3.9006
_cell_length_c 7.8260
_cell_angle_alpha 90.00
_cell_angle_beta 90.00
_cell_angle_gamma 90.00
_symmetry_space_group_name_H-M 'I -4 m 2'
_symmetry_Int_Tables_number 119
_symmetry_space_group_name_Hall 'I -4 -2'
loop_
_atom_site_label
_atom_site_type_symbol
_atom_site_fract_x
_atom_site_fract_y
_atom_site_fract_z
Cd1 Cd 0.0000 0.0000 0.0000
Cu1 Cu 0.0000 0.0000 0.5000
Cu2 Cu 0.0000 0.5000 0.7500
Tc1 Tc 0.0000 0.5000 0.2500
# Spin magnetization: 0.247 μB per atom
# Energy: -4.398 eV per atom
# Energy of formation from the pure elements: 470 meV/atom

11.
# TiBe2NbRh | the Alexandria database | PBE | relaxed
data_TiBe2NbRh
_cell_length_a 4.3068
_cell_length_b 4.3068
_cell_length_c 4.3179
_cell_angle_alpha 90.00
_cell_angle_beta 90.00
_cell_angle_gamma 90.00
_symmetry_space_group_name_H-M 'P 4/m m m'
_symmetry_Int_Tables_number 123
_symmetry_space_group_name_Hall '-P 4 2'
loop_
_atom_site_label
_atom_site_type_symbol
_atom_site_fract_x
_atom_site_fract_y
_atom_site_fract_z
Ti1 Ti 0.0000 0.0000 0.0000
Be1 Be 0.0000 0.5000 0.0000
Nb1 Nb 0.5000 0.5000 0.5000
Rh1 Rh 0.0000 0.0000 0.5000
# Spin magnetization: 0.146 μB per atom
# Energy: -5.548 eV per atom
# Energy of formation from the pure elements: 1006 meV/atom

12.
# SnB3Os | the Alexandria database | PBE | relaxed
data_SnB3Os
_cell_length_a 4.2925
_cell_length_b 4.2925
_cell_length_c 4.2925
_cell_angle_alpha 90.00
_cell_angle_beta 90.00
_cell_angle_gamma 90.00
_symmetry_space_group_name_H-M 'P m -3 m'
_symmetry_Int_Tables_number 221
_symmetry_space_group_name_Hall '-P 4 2 3'
loop_
_atom_site_label
_atom_site_type_symbol
_atom_site_fract_x
_atom_site_fract_y
_atom_site_fract_z
Sn1 Sn 0.0000 0.0000 0.0000
B1 B 0.0000 0.0000 0.5000
Os1 Os 0.5000 0.5000 0.5000
# ΔE to the lowest computed polymorph: 1992 meV/atom
# Spin magnetization: 0.000 μB per atom
# Energy: -4.110 eV per atom
# Energy of formation from the pure elements: 2943 meV/atom